15
Lattice="6.445 0.000 2.910 3.222 8.946 1.455 -0.459 0.000 9.608" Properties=species:S:1:pos:R:3 comment="PBE AcLa10Tm4, relaxed" formation_enthalpy_0k_mev_per_atom=424 e_tot_ev_per_atom=-4.327 pbc="T T T"
La 6.460 1.436 6.946
La 1.658 3.672 8.989
La 4.158 5.274 3.453
La 5.801 7.510 8.406
La 5.049 3.672 10.520
La 3.407 1.436 5.567
La 7.549 5.274 4.984
La 6.215 4.473 7.714
La 2.747 7.510 7.027
La 2.993 4.473 6.259
Tm 5.546 7.987 4.899
Tm 3.661 0.959 9.074
Tm 6.380 6.763 11.644
Tm 2.827 2.182 2.329
Ac 0.000 0.000 0.000